Density functional theory data (PBE) for a geometry-optimized Cu6Bi structure.

CIF file:
```
data_Cu6Bi
_chemical_formula_sum 'Cu12 Bi2'
_cell_length_a 6.435
_cell_length_b 6.435
_cell_length_c 6.435
_cell_angle_alpha 90.00
_cell_angle_beta 90.00
_cell_angle_gamma 90.00
_symmetry_space_group_name_H-M 'I m -3 m'
_symmetry_Int_Tables_number 229
_symmetry_space_group_name_Hall '-I 4 2 3'
loop_
_atom_site_label
_atom_site_type_symbol
_atom_site_fract_x
_atom_site_fract_y
_atom_site_fract_z
Cu1 Cu 0.000 0.250 0.500
Bi1 Bi 0.000 0.000 0.000
```

Summary:
total magnetic moment: 0.00 μB/cell
density of states at the Fermi level: 0.3335 states/eV per atom
mass density: 7.4 g cm⁻³
calculated formation energy: 705 meV/atom